No. 1
The following is a DFT calculation (GGA-PBE) of a relaxed Cd12Sb6As crystal.

## Properties
The calculation puts the formation energy without anion corrections at 0.013 eV per atom. The volume is 577 Å³/cell. Its total energy is -0.0776 Ha/atom.

Cell: 8.4485 8.4485 8.4485 Å, 99.22 99.22 99.22°
Element x y z (fractional)
Cd1 0.9363 0.6903 0.0753
Sb1 0.8538 0.7224 0.4083
Cd2 0.0753 0.9363 0.6903
Cd3 0.1740 0.5833 0.4588
Cd4 0.0637 0.3097 0.9247
Cd5 0.5412 0.8260 0.4167
Sb2 0.4083 0.8538 0.7224
Cd6 0.3097 0.9247 0.0637
Cd7 0.8260 0.4167 0.5412
Cd8 0.6903 0.0753 0.9363
Cd9 0.9247 0.0637 0.3097
Sb3 0.2776 0.5917 0.1462
As1 0.0000 0.0000 0.0000
Sb4 0.1462 0.2776 0.5917
Cd10 0.5833 0.4588 0.1740
Sb5 0.7224 0.4083 0.8538
Cd11 0.4588 0.1740 0.5833
Sb6 0.5917 0.1462 0.2776
Cd12 0.4167 0.5412 0.8260

No. 2
The following is a DFT calculation (GGA-PBE) of a relaxed CdSb2As2 crystal.

## Properties
The calculation puts the formation energy without anion corrections at 0.118 eV per atom. The volume is 140 Å³/cell. As for the energy relative to the lowest polymorph listed for this composition: 0 meV per atom. Its total energy is -0.1314 Ha/atom.

Cell: 5.1943 5.1941 5.4145 Å, 82.97 82.96 102.15°
Element x y z (fractional)
Sb1 0.2297 0.7703 0.5000
Cd1 0.0000 0.0000 0.0000
As1 0.5940 0.5940 0.1772
Sb2 0.7703 0.2297 0.5000
As2 0.4060 0.4060 0.8228

No. 3
The following is a DFT calculation (GGA-PBE) of a relaxed Cd7Sb3As crystal.

## Properties
The calculation puts the formation energy without anion corrections at 0.022 eV per atom. The volume is 646 Å³/cell. Its total energy is -0.0774 Ha/atom.

Cell: 7.9589 7.9589 10.6666 Å, 90.00 90.00 107.13°
Element x y z (fractional)
Cd1 0.9045 0.6377 0.4762
Cd2 0.9172 0.0828 0.2500
Cd3 0.6128 0.3872 0.2500
Cd4 0.6239 0.3761 0.7500
Cd5 0.3872 0.6128 0.7500
Cd6 0.3623 0.0955 0.0238
Cd7 0.0828 0.9172 0.7500
As1 0.0000 0.0000 0.0000
Sb1 0.9979 0.5275 0.7475
Sb2 0.4725 0.0021 0.7525
Cd8 0.0978 0.3638 0.5185
Cd9 0.0955 0.3623 0.9762
Sb3 0.4990 0.4990 0.0000
Sb4 0.5275 0.9979 0.2525
Cd10 0.9022 0.6362 0.0185
Cd11 0.6377 0.9045 0.5238
Cd12 0.3761 0.6239 0.2500
Sb5 0.5010 0.5010 0.5000
As2 0.0000 0.0000 0.5000
Cd13 0.3638 0.0978 0.4815
Cd14 0.6362 0.9022 0.9815
Sb6 0.0021 0.4725 0.2475

No. 4
The following is a DFT calculation (GGA-PBE) of a relaxed CdSb2As2 crystal.

## Properties
The calculation puts the formation energy without anion corrections at 0.203 eV per atom. The volume is 252 Å³/cell. As for the energy relative to the lowest polymorph listed for this composition: 85 meV per atom. Its total energy is -0.1282 Ha/atom.

Cell: 8.0559 8.0559 3.8885 Å, 90.00 90.00 90.00°
Element x y z (fractional)
As1 0.8265 0.6735 0.0000
As2 0.3265 0.8265 0.0000
Sb1 0.8434 0.3434 0.5000
As3 0.6735 0.1735 0.0000
Sb2 0.6566 0.8434 0.5000
Sb3 0.1566 0.6566 0.5000
Sb4 0.3434 0.1566 0.5000
Cd1 0.0000 0.0000 0.0000
As4 0.1735 0.3265 0.0000
Cd2 0.5000 0.5000 0.0000

No. 5
The following is a DFT calculation (GGA-PBE) of a relaxed CdSb2As2 crystal.

## Properties
The calculation puts the formation energy without anion corrections at 0.234 eV per atom. The volume is 260 Å³/cell. As for the energy relative to the lowest polymorph listed for this composition: 116 meV per atom. Its total energy is -0.1271 Ha/atom.

Cell: 8.2424 8.2424 3.8255 Å, 90.00 90.00 90.00°
Element x y z (fractional)
Sb1 0.3291 0.8291 0.0000
As1 0.3365 0.1635 0.5000
Sb2 0.1709 0.3291 0.0000
Sb3 0.8291 0.6709 0.0000
As2 0.6635 0.8365 0.5000
Cd1 0.0000 0.0000 0.0000
As3 0.1635 0.6635 0.5000
Sb4 0.6709 0.1709 0.0000
As4 0.8365 0.3365 0.5000
Cd2 0.5000 0.5000 0.0000

No. 6
The following is a DFT calculation (GGA-PBE) of a relaxed CdSbAsSe2 crystal.

## Properties
The calculation puts the formation energy without anion corrections at 0.523 eV per atom. The volume is 150 Å³/cell. As for the energy relative to the lowest polymorph listed for this composition: 0 meV per atom. Its total energy is -0.1032 Ha/atom.

Cell: 5.2735 5.2735 5.4101 Å, 90.00 90.00 90.00°
Last column: magnetic moment on the atom in μB.
Element x y z (fractional)
Sb1 0.0000 0.0000 0.0000  -0.01
Se1 0.5000 0.0000 0.0000  0.04
Se2 0.0000 0.5000 0.0000  0.04
Cd1 0.5000 0.5000 0.5000  -0.01
As1 0.0000 0.0000 0.5000  0.19

No. 7
The following is a DFT calculation (GGA-PBE) of a relaxed Cd2SbAsSe crystal.

## Properties
The calculation puts the formation energy without anion corrections at 0.591 eV per atom. The volume is 160 Å³/cell. Its total energy is -0.0818 Ha/atom.

Cell: 5.4937 5.2970 5.4937 Å, 90.00 90.00 90.00°
Element x y z (fractional)
Sb1 0.0000 0.0000 0.0000
As1 0.0000 0.5000 0.0000
Se1 0.5000 0.5000 0.5000
Cd1 0.5000 0.0000 0.0000
Cd2 0.0000 0.0000 0.5000

No. 8
The following is a DFT calculation (GGA-PBE) of a relaxed CdSnSbAs crystal.

## Properties
The calculation puts the formation energy without anion corrections at -0.072 eV per atom. The volume is 131 Å³/cell. Its total energy is -0.1284 Ha/atom.

Cell: 4.5261 4.5261 7.8128 Å, 90.03 106.79 120.02°
Element x y z (fractional)
Sb1 0.4507 0.6084 0.0591
Sn1 0.2331 0.9998 0.2329
As1 0.4684 0.1192 0.5875
Cd1 0.1768 0.4734 0.6503

No. 9
The following is a DFT calculation (GGA-PBE) of a relaxed Sr2CdSbAs crystal.

## Properties
The calculation puts the formation energy without anion corrections at -0.082 eV per atom. The volume is 189 Å³/cell. As for the energy relative to the lowest polymorph listed for this composition: 766 meV per atom. Its total energy is -0.0989 Ha/atom.

Cell: 6.3420 4.7043 6.3420 Å, 90.00 90.00 90.00°
Element x y z (fractional)
As1 0.0000 0.5000 0.0000
Sr1 0.0000 0.0000 0.5000
Cd1 0.0000 0.0000 0.0000
Sr2 0.5000 0.0000 0.0000
Sb1 0.5000 0.5000 0.5000

No. 10
The following is a DFT calculation (GGA-PBE) of a relaxed Sr2CdSbAs crystal.

## Properties
The calculation puts the formation energy without anion corrections at -0.848 eV per atom. The volume is 340 Å³/cell. As for the energy relative to the lowest polymorph listed for this composition: 0 meV per atom. Its total energy is -0.1271 Ha/atom.

Cell: 4.5742 8.1310 9.4522 Å, 105.01 90.00 90.00°
Element x y z (fractional)
Sr1 0.7500 0.7890 0.0423
As1 0.2500 0.8289 0.8282
Cd1 0.2500 0.5026 0.7240
Sr2 0.7500 0.8315 0.6078
Cd2 0.7500 0.4974 0.2760
Sb1 0.2500 0.7162 0.3132
Sb2 0.7500 0.2838 0.6868
Sr3 0.2500 0.2110 0.9577
Sr4 0.2500 0.1685 0.3922
As2 0.7500 0.1711 0.1718

No. 11
The following is a DFT calculation (GGA-PBE) of a relaxed Sr2Cd2Sb2As crystal.

## Properties
The calculation puts the formation energy without anion corrections at -0.585 eV per atom. The volume is 218 Å³/cell. Its total energy is -0.1165 Ha/atom.

Cell: 4.6277 7.3297 8.3835 Å, 55.82 90.08 71.69°
Element x y z (fractional)
Sb1 0.1514 0.6956 0.6654
Sb2 0.8486 0.3044 0.3346
Sr1 0.4417 0.1159 0.7068
As1 0.0000 0.0000 0.0000
Sr2 0.5583 0.8841 0.2932
Cd1 0.2177 0.5655 0.0878
Cd2 0.7823 0.4345 0.9122

No. 12
The following is a DFT calculation (GGA-PBE) of a relaxed TlCd2SbAs crystal.

## Properties
The calculation puts the formation energy without anion corrections at -0.004 eV per atom. The volume is 297 Å³/cell. Its total energy is -0.0955 Ha/atom.

Cell: 4.4027 7.6021 9.8259 Å, 115.30 90.00 90.00°
Element x y z (fractional)
Sb1 0.7500 0.8582 0.4686
Sb2 0.2500 0.1418 0.5314
Tl1 0.7500 0.0655 0.8595
As1 0.7500 0.6796 0.9082
Cd1 0.2500 0.4406 0.8441
Cd2 0.7500 0.5622 0.6090
Tl2 0.2500 0.9345 0.1405
Cd3 0.2500 0.4378 0.3910
Cd4 0.7500 0.5594 0.1559
As2 0.2500 0.3204 0.0918

No. 13
The following is a DFT calculation (GGA-PBE) of a relaxed Y2CdSbAs crystal.

## Properties
The calculation puts the formation energy without anion corrections at -0.190 eV per atom. The volume is 159 Å³/cell. Its total energy is -0.1732 Ha/atom.

Cell: 5.3937 5.4552 5.3937 Å, 90.00 90.00 90.00°
Element x y z (fractional)
Cd1 0.5000 0.5000 0.5000
As1 0.0000 0.0000 0.0000
Y1 0.0000 0.0000 0.5000
Y2 0.5000 0.0000 0.0000
Sb1 0.0000 0.5000 0.0000

No. 14
The following is a DFT calculation (GGA-PBE) of a relaxed Sc2CdAs crystal.

## Properties
The value obtained for the energy relative to the elements is -0.4684 eV/atom. The volume is 83 Å³/cell. As for the energy relative to the lowest polymorph listed for this composition: 247 meV per atom. Its total energy is -0.1847 Ha/atom.

Cell: 4.8878 4.8878 4.8878 Å, 60.00 60.00 60.00°
Element x y z (fractional)
Sc1 0.2500 0.2500 0.2500
Cd1 0.5000 0.5000 0.5000
As1 0.0000 0.0000 0.0000
Sc2 0.7500 0.7500 0.7500

No. 15
The following is a DFT calculation (GGA-PBE) of a relaxed Sc2CdAs2 crystal.

## Properties
The value obtained for the energy relative to the elements is -0.8646 eV/atom. The volume is 201 Å³/cell. Its total energy is -0.1999 Ha/atom.

Cell: 7.4786 7.4786 3.5923 Å, 90.00 90.00 90.00°
Element x y z (fractional)
Sc1 0.8469 0.3469 0.5000
Sc2 0.3469 0.1531 0.5000
Cd1 0.0000 0.0000 0.0000
Cd2 0.5000 0.5000 0.0000
As1 0.3501 0.8501 0.0000
As2 0.6499 0.1499 0.0000
As3 0.1499 0.3501 0.0000
Sc3 0.1531 0.6531 0.5000
As4 0.8501 0.6499 0.0000
Sc4 0.6531 0.8469 0.5000

No. 16
The following is a DFT calculation (GGA-PBE) of a relaxed Sc2CdAs crystal.

## Properties
The value obtained for the energy relative to the elements is -0.2944 eV/atom. The volume is 91 Å³/cell. As for the energy relative to the lowest polymorph listed for this composition: 421 meV per atom. Its total energy is -0.1783 Ha/atom.

Cell: 3.4186 3.4186 7.8659 Å, 90.00 90.00 99.73°
Element x y z (fractional)
Sc1 0.5000 0.5000 0.2959
Cd1 0.5000 0.5000 0.7269
As1 0.0000 0.0000 0.4774
Sc2 0.0000 0.0000 0.9998

No. 17
The following is a DFT calculation (GGA-PBE) of a relaxed Sc2CdAs crystal.

## Properties
The value obtained for the energy relative to the elements is -0.0300 eV/atom. The volume is 94 Å³/cell. As for the energy relative to the lowest polymorph listed for this composition: 685 meV per atom. Its total energy is -0.1686 Ha/atom.

Cell: 10.3948 10.3948 10.3948 Å, 18.07 18.07 18.07°
Element x y z (fractional)
Sc1 0.0862 0.0862 0.0862
Sc2 0.9138 0.9138 0.9138
As1 0.0000 0.0000 0.0000
Cd1 0.5000 0.5000 0.5000

No. 18
The following is a DFT calculation (GGA-PBE) of a relaxed Sc2Cd2As crystal.

## Properties
The value obtained for the energy relative to the elements is -0.4061 eV/atom. The volume is 236 Å³/cell. As for the energy relative to the lowest polymorph listed for this composition: 0 meV per atom. Its total energy is -0.1556 Ha/atom.

Cell: 7.0408 7.0408 4.7602 Å, 90.00 90.00 90.00°
Element x y z (fractional)
As1 0.5000 0.5000 0.0000
Cd1 0.1442 0.6442 0.5000
As2 0.0000 0.0000 0.0000
Sc1 0.6642 0.1642 0.0000
Sc2 0.1642 0.3358 0.0000
Sc3 0.8358 0.6642 0.0000
Cd2 0.3558 0.1442 0.5000
Sc4 0.3358 0.8358 0.0000
Cd3 0.8558 0.3558 0.5000
Cd4 0.6442 0.8558 0.5000

No. 19
The following is a DFT calculation (GGA-PBE) of a relaxed ScCdAs3 crystal.

## Properties
The value obtained for the energy relative to the elements is 0.1869 eV/atom. The volume is 133 Å³/cell. As for the energy relative to the lowest polymorph listed for this composition: 0 meV per atom. Its total energy is -0.1489 Ha/atom.

Cell: 5.1015 5.1015 5.1015 Å, 90.00 90.00 90.00°
Element x y z (fractional)
As1 0.0000 0.0000 0.5000
As2 0.5000 0.0000 0.0000
Sc1 0.0000 0.0000 0.0000
As3 0.0000 0.5000 0.0000
Cd1 0.5000 0.5000 0.5000

No. 20
The following is a DFT calculation (GGA-PBE) of a relaxed Sc2CdAs crystal.

## Properties
The value obtained for the energy relative to the elements is -0.3850 eV/atom. The volume is 108 Å³/cell. As for the energy relative to the lowest polymorph listed for this composition: 330 meV per atom. Its total energy is -0.1816 Ha/atom.

Cell: 9.3408 9.3408 9.3408 Å, 22.91 22.91 22.91°
Element x y z (fractional)
Sc1 0.8892 0.8892 0.8892
Sc2 0.1108 0.1108 0.1108
As1 0.5000 0.5000 0.5000
Cd1 0.0000 0.0000 0.0000

For reference, ρ by record: 6.20; 6.00; 6.31; 6.66; 6.46; 5.15; 5.20; 5.44; 4.25; 4.74; 5.48; 6.99; 5.09; 5.58; 5.82; 5.08; 4.88; 5.48; 4.78; 4.25 g/cm³.